VASP calculation (PBE-GGA) on a relaxed AcLaYTh crystal.

Cell: 5.917 5.917 5.917 Å, 60.00 60.00 60.00°
Positions (direct):
Ac  0.000  0.000  0.000
La  0.500  0.500  0.500
Y  0.250  0.250  0.250
Th  0.750  0.750  0.750

As for the space group: No. 216. Its energy of formation is 234 meV per atom. The value obtained for the energy above the most stable polymorph in this dataset is 194 meV per atom. The value obtained for the density of states at the Fermi level is 11.506 states/eV per cell. Its energy is -5.50 eV per atom. As for the density: 7.8 g/cm³. As for the magnetic moment: 0.05 Bohr magnetons per cell.

VASP calculation (PBE-GGA) on a relaxed EuDy2O4 crystal.

Cell: 10.068 3.421 11.974 Å, 90.00 90.00 90.00°
Positions (direct):
Eu  0.248  0.250  0.149
Eu  0.252  0.750  0.649
Eu  0.748  0.250  0.351
Eu  0.752  0.750  0.851
Dy  0.077  0.250  0.889
Dy  0.078  0.250  0.388
Dy  0.422  0.750  0.888
Dy  0.423  0.750  0.389
Dy  0.577  0.250  0.611
Dy  0.578  0.250  0.112
Dy  0.922  0.750  0.612
Dy  0.923  0.750  0.111
O  0.013  0.750  0.784
O  0.076  0.250  0.578
O  0.128  0.750  0.020
O  0.212  0.750  0.322
O  0.288  0.250  0.822
O  0.372  0.250  0.520
O  0.424  0.750  0.078
O  0.487  0.250  0.284
O  0.513  0.750  0.716
O  0.576  0.250  0.922
O  0.628  0.750  0.480
O  0.712  0.750  0.178
O  0.788  0.250  0.678
O  0.872  0.250  0.980
O  0.924  0.750  0.422
O  0.987  0.250  0.216

As for the formation energy without anion corrections: -3.33 eV per atom. As for the space group: No. 62. The value obtained for the density of states at the Fermi level is 42.348 states/eV per cell. Its energy is -8.94 eV per atom. As for the density: 8.7 g/cm³. As for the magnetic moment: 28.00 Bohr magnetons per cell.

VASP calculation (PBE-GGA) on a relaxed NbCd2Pb crystal.

Cell: 12.268 12.268 12.268 Å, 14.31 14.31 14.31°
Positions (direct):
Nb  0.000  0.000  0.000
Cd  0.081  0.081  0.081
Cd  0.919  0.919  0.919
Pb  0.500  0.500  0.500

As for the space group: No. 166. Its energy of formation is 567 meV per atom. The value obtained for the density of states at the Fermi level is 4.325 states/eV per cell. Its energy is -3.33 eV per atom. As for the density: 8.9 g/cm³. As for the magnetic moment: 0.00 Bohr magnetons per cell.